Entry from Alexandria: a relaxed Ti3Be8Co crystal (PBE).

a b c (Å): 4.417 4.417 7.707
angles (deg): 73.35 73.35 60.00
Site moments in Bohr magnetons follow the coordinates.
Fractional coordinates of all 12 atoms:
Ti  0.996  0.996  0.011  0.76
Ti  0.376  0.376  0.873  0.82
Ti  0.503  0.503  0.492  0.05
Be  0.188  0.188  0.436  0.01
Be  0.436  0.935  0.194  0.01
Be  0.939  0.939  0.681  0.01
Be  0.935  0.436  0.194  0.01
Be  0.436  0.436  0.194  0.01
Be  0.441  0.939  0.681  0.01
Be  0.939  0.441  0.681  0.01
Be  0.687  0.687  0.940  -0.02
Co  0.876  0.876  0.373  0.28

Output
ΔE_f: -0.26 eV per atom
spin magnetization: 2.41 μB per cell

Entry from Alexandria: a relaxed Ca2Pm5Ho4 crystal (PBE).

a b c (Å): 9.326 9.326 10.829
angles (deg): 55.46 142.47 137.52
Fractional coordinates of all 11 atoms:
Pm  0.068  0.348  0.897
Pm  0.452  0.172  0.103
Pm  0.932  0.652  0.103
Pm  0.500  0.000  0.500
Pm  0.548  0.828  0.897
Ho  0.803  0.580  0.383
Ho  0.197  0.420  0.617
Ho  0.608  0.254  0.863
Ho  0.392  0.746  0.137
Ca  0.857  0.798  0.655
Ca  0.143  0.202  0.345

Output
ΔE_f: 0.19 eV per atom
spin magnetization: 0.00 μB per cell

Entry from Alexandria: a relaxed CaTaAg crystal (PBE).

a b c (Å): 11.142 3.595 3.607
angles (deg): 90.00 90.00 71.18
Fractional coordinates of all 6 atoms:
Ca  0.551  0.821  0.617
Ca  0.068  0.804  0.117
Ta  0.760  0.112  0.117
Ta  0.860  0.512  0.617
Ag  0.377  0.495  0.117
Ag  0.242  0.129  0.617

Output
ΔE_f: 0.13 eV per atom
E above lowest polymorph: 7 meV/atom
spin magnetization: 0.00 μB per cell

Entry from Alexandria: a relaxed K2Rb5Hg crystal (PBE).

a b c (Å): 5.006 8.449 28.659
angles (deg): 90.00 90.00 107.23
Fractional coordinates of all 16 atoms:
Rb  0.365  0.731  0.464
Rb  0.520  0.039  0.250
Rb  0.091  0.182  0.384
Rb  0.635  0.269  0.964
Rb  0.909  0.818  0.616
Rb  0.480  0.961  0.750
Rb  0.091  0.182  0.116
Rb  0.909  0.818  0.884
Rb  0.635  0.269  0.536
Rb  0.365  0.731  0.036
Hg  0.198  0.396  0.250
Hg  0.802  0.604  0.750
K  0.804  0.607  0.325
K  0.804  0.607  0.175
K  0.196  0.393  0.675
K  0.196  0.393  0.825

Output
ΔE_f: -0.06 eV per atom
E above lowest polymorph: 0 meV/atom
spin magnetization: 0.00 μB per cell